# 1
Below is crystalline PrP2Ru at its relaxed geometry, with properties calculated at the PBE level.

Values from the calculation:
Raw total energy: -7.0354 eV per atom

Structure (POSCAR):
```
PrP2Ru
1.0
-0.635 0.533 -3.948
1.789 -3.534 -0.766
-4.856 -0.748 2.743
Pr P Ru
1 2 1
direct
0.222 0.881 0.228 Pr
0.853 0.513 0.492 P
0.589 0.249 0.964 P
0.471 0.631 0.728 Ru
```


# 2
Below is crystalline CsRb3Nb at its relaxed geometry, with properties calculated at the PBE level.

Values from the calculation:
ΔE to the lowest computed polymorph: 0.00 eV/f.u.

Structure (POSCAR):
```
CsRb3Nb
1.0
7.315 0.000 0.000
0.000 7.315 0.000
0.000 0.000 7.315
Cs Rb Nb
1 3 1
direct
0.500 0.500 0.500 Cs
0.000 0.000 0.500 Rb
0.500 0.000 0.000 Rb
0.000 0.500 0.000 Rb
0.000 0.000 0.000 Nb
```


# 3
Below is crystalline Ba2Tl3Cd5 at its relaxed geometry, with properties calculated at the PBE level.

Values from the calculation:
ΔE to the lowest computed polymorph: 0.11 eV/f.u.

Structure (POSCAR):
```
Ba2Tl3Cd5
1.0
5.026 0.000 0.000
0.000 5.026 0.000
0.000 0.000 12.362
Cd Tl Ba
5 3 2
direct
0.500 0.500 0.000 Cd
0.000 0.000 0.000 Cd
0.500 0.500 0.500 Cd
0.500 0.000 0.881 Cd
0.000 0.500 0.119 Cd
0.000 0.500 0.355 Tl
0.500 0.000 0.645 Tl
0.000 0.000 0.500 Tl
0.500 0.000 0.244 Ba
0.000 0.500 0.756 Ba
```


# 4
Below is crystalline CeLuTcNi at its relaxed geometry, with properties calculated at the PBE level.

Values from the calculation:
Raw total energy: -6.8648 eV per atom

Structure (POSCAR):
```
CeLuTcNi
1.0
-2.279 -4.145 -0.726
1.198 -2.771 -3.714
2.276 -4.144 0.742
Ni Lu Tc Ce
1 1 1 1
direct
0.500 0.500 0.500 Ni
0.750 0.750 0.750 Lu
0.000 0.000 0.000 Tc
0.250 0.250 0.250 Ce
```


# 5
Below is crystalline SrMgGa4 at its relaxed geometry, with properties calculated at the PBE level.

Values from the calculation:
ΔE to the lowest computed polymorph: 0.00 eV/f.u.

Structure (POSCAR):
```
SrMgGa4
1.0
-0.588 -4.018 2.056
3.053 2.961 1.621
-5.094 2.923 4.256
Sr Ga Mg
1 4 1
direct
0.000 0.000 0.500 Sr
0.333 0.667 0.793 Ga
0.333 0.667 0.207 Ga
0.667 0.333 0.793 Ga
0.667 0.333 0.207 Ga
0.000 0.000 0.000 Mg
```


no.,N(E_F) (states/eV/f.u.)
1,3.19
2,3.83
3,7.79
4,3.16
5,2.18